A plane-wave DFT calculation with PBE-GGA was carried out for ZrBRu3 after structural relaxation.

Output
symmetry: P1
theoretical density: 9.6 Mg/m³
total energy: -8.92 eV/atom
formation energy from the elements: -7.09 kcal/mol of atoms
total moment: 0.0 μB per formula unit
Fermi-level density of states: 9.34 states/eV/cell

abc: 4.7694 5.7980 5.4814
angles: 107.12 79.51 103.83
Sites, in units of the cell vectors:
Ru (0.0011, 0.2908, 0.5635)
B (0.1579, 0.5339, 0.2864)
Ru (0.9667, 0.8321, 0.5696)
Zr (0.5150, 0.4760, 0.8369)
Ru (0.0286, 0.7061, 0.0214)
Ru (0.5066, 0.0068, 0.8404)
Ru (0.0109, 0.1799, 0.0315)
Ru (0.5851, 0.4550, 0.3121)
B (0.2849, 0.6608, 0.6048)
Zr (0.5192, 0.9660, 0.3210)